# Sb4IrPd2, relaxed, DFT GGA-PBE
# Calculated density   8.38 g/cm3
# E   -4.9328 eV per atom
# Crystal system   tetragonal
# Energy relative to the elements, uncorrected   0.172 eV/atom
data_Sb4IrPd2
_cell_length_a 5.171
_cell_length_b 5.171
_cell_length_c 13.220
_cell_angle_alpha 90.00
_cell_angle_beta 90.00
_cell_angle_gamma 90.00
_symmetry_space_group_name_H-M 'I 4/m m m'
_symmetry_Int_Tables_number 139
_symmetry_space_group_name_Hall '-I 4 2'
loop_
_atom_site_label
_atom_site_type_symbol
_atom_site_fract_x
_atom_site_fract_y
_atom_site_fract_z
_atom_site_occupancy
Sb1 Sb 0.000 0.000 0.207 1
Sb2 Sb 0.000 0.500 0.000 1
Ir1 Ir 0.000 0.000 0.000 1
Pd1 Pd 0.000 0.000 0.398 1



# Sb3IrPd, relaxed, DFT GGA-PBE
# Calculated density   8.11 g/cm3
# ΔE to the lowest computed polymorph   0 meV/atom
# E   -4.6716 eV per atom
# Crystal system   cubic
# Energy relative to the elements, uncorrected   0.613 eV/atom
data_Sb3IrPd
_cell_length_a 5.141
_cell_length_b 5.141
_cell_length_c 5.141
_cell_angle_alpha 90.00
_cell_angle_beta 90.00
_cell_angle_gamma 90.00
_symmetry_space_group_name_H-M 'P m -3 m'
_symmetry_Int_Tables_number 221
_symmetry_space_group_name_Hall '-P 4 2 3'
loop_
_atom_site_label
_atom_site_type_symbol
_atom_site_fract_x
_atom_site_fract_y
_atom_site_fract_z
_atom_site_occupancy
Sb1 Sb 0.000 0.000 0.500 1
Ir1 Ir 0.000 0.000 0.000 1
Pd1 Pd 0.500 0.500 0.500 1



# Sb2Ir2Pd, relaxed, DFT GGA-PBE
# Calculated density   13.30 g/cm3
# ΔE to the lowest computed polymorph   71 meV/atom
# E   -6.1269 eV per atom
# Crystal system   tetragonal
# Energy relative to the elements, uncorrected   0.105 eV/atom
data_Sb2Ir2Pd
_cell_length_a 7.524
_cell_length_b 7.524
_cell_length_c 3.238
_cell_angle_alpha 90.00
_cell_angle_beta 90.00
_cell_angle_gamma 90.00
_symmetry_space_group_name_H-M 'P 4/m b m'
_symmetry_Int_Tables_number 127
_symmetry_space_group_name_Hall '-P 4 2ab'
loop_
_atom_site_label
_atom_site_type_symbol
_atom_site_fract_x
_atom_site_fract_y
_atom_site_fract_z
_atom_site_occupancy
Sb1 Sb 0.160 0.340 0.000 1
Ir1 Ir 0.136 0.636 0.500 1
Pd1 Pd 0.000 0.000 0.000 1



# Sb8IrPd2, relaxed, DFT GGA-PBE
# Calculated density   7.48 g/cm3
# E   -4.7790 eV per atom
# Crystal system   triclinic
# Energy relative to the elements, uncorrected   -0.031 eV/atom
data_Sb8IrPd2
_cell_length_a 4.997
_cell_length_b 8.477
_cell_length_c 8.517
_cell_angle_alpha 119.75
_cell_angle_beta 100.58
_cell_angle_gamma 90.25
_symmetry_space_group_name_H-M 'P -1'
_symmetry_Int_Tables_number 2
_symmetry_space_group_name_Hall '-P 1'
loop_
_atom_site_label
_atom_site_type_symbol
_atom_site_fract_x
_atom_site_fract_y
_atom_site_fract_z
_atom_site_occupancy
Sb1 Sb 0.124 0.098 0.198 1
Sb2 Sb 0.274 0.632 0.834 1
Sb3 Sb 0.275 0.204 0.839 1
Sb4 Sb 0.369 0.661 0.319 1
Ir1 Ir 0.000 0.500 0.000 1
Pd1 Pd 0.331 0.834 0.668 1